Run one
Entry from OQMD: crystalline ScCoIrPb at its relaxed geometry (PBE). Values from VASP.

Geometry as Quantum ESPRESSO input:
```
&SYSTEM
  ibrav = 0, nat = 4, ntyp = 4
/
ATOMIC_SPECIES
Ir 192.22 Ir.upf
Pb 207.20 Pb.upf
Sc 44.96 Sc.upf
Co 58.93 Co.upf
ATOMIC_POSITIONS crystal
Ir 0.2500 0.2500 0.2500
Pb 0.0000 0.0000 0.0000
Sc 0.5000 0.5000 0.5000
Co 0.7500 0.7500 0.7500
CELL_PARAMETERS angstrom
-3.6953 -1.1128 2.4665
-0.9708 2.3040 3.8374
-3.6042 2.8232 0.1263
```

=====

Run two
Entry from OQMD: crystalline ScCoIrPb at its relaxed geometry (PBE). Values from VASP.

Geometry as Quantum ESPRESSO input:
```
&SYSTEM
  ibrav = 0, nat = 4, ntyp = 4
/
ATOMIC_SPECIES
Sc 44.96 Sc.upf
Pb 207.20 Pb.upf
Co 58.93 Co.upf
Ir 192.22 Ir.upf
ATOMIC_POSITIONS crystal
Sc 0.2500 0.2500 0.2500
Pb 0.0000 0.0000 0.0000
Co 0.7500 0.7500 0.7500
Ir 0.5000 0.5000 0.5000
CELL_PARAMETERS angstrom
2.8916 0.8860 3.4662
-1.5993 1.7652 3.9354
-0.1087 -2.5847 3.8037
```

=====

Least stable: run two

=====

Run one
Entry from OQMD: crystalline TaCoIrPb at its relaxed geometry (PBE). Values from VASP.

Geometry as Quantum ESPRESSO input:
```
&SYSTEM
  ibrav = 0, nat = 4, ntyp = 4
/
ATOMIC_SPECIES
Ta 180.95 Ta.upf
Ir 192.22 Ir.upf
Pb 207.20 Pb.upf
Co 58.93 Co.upf
ATOMIC_POSITIONS crystal
Ta 0.2500 0.2500 0.2500
Ir 0.5000 0.5000 0.5000
Pb 0.0000 0.0000 0.0000
Co 0.7500 0.7500 0.7500
CELL_PARAMETERS angstrom
0.0000 3.2275 3.2275
3.2275 0.0000 3.2275
3.2275 3.2275 0.0000
```

=====

Run two
Entry from OQMD: crystalline TaCoIrPb at its relaxed geometry (PBE). Values from VASP.

Geometry as Quantum ESPRESSO input:
```
&SYSTEM
  ibrav = 0, nat = 4, ntyp = 4
/
ATOMIC_SPECIES
Pb 207.20 Pb.upf
Co 58.93 Co.upf
Ta 180.95 Ta.upf
Ir 192.22 Ir.upf
ATOMIC_POSITIONS crystal
Pb 0.0000 0.0000 0.0000
Co 0.7500 0.7500 0.7500
Ta 0.5000 0.5000 0.5000
Ir 0.2500 0.2500 0.2500
CELL_PARAMETERS angstrom
-2.5745 -0.1791 3.7561
-3.3616 3.0171 0.6044
-4.3456 -1.3442 -0.2780
```

=====

Least stable: run one

=====

Run one
Entry from OQMD: crystalline CoIrPbW at its relaxed geometry (PBE). Values from VASP.

Geometry as Quantum ESPRESSO input:
```
&SYSTEM
  ibrav = 0, nat = 4, ntyp = 4
/
ATOMIC_SPECIES
Co 58.93 Co.upf
W 183.84 W.upf
Pb 207.20 Pb.upf
Ir 192.22 Ir.upf
ATOMIC_POSITIONS crystal
Co 0.7500 0.7500 0.7500
W 0.5000 0.5000 0.5000
Pb 0.0000 0.0000 0.0000
Ir 0.2500 0.2500 0.2500
CELL_PARAMETERS angstrom
0.0000 3.1871 3.1871
3.1871 0.0000 3.1871
3.1871 3.1871 0.0000
```

=====

Run two
Entry from OQMD: crystalline CoIrPbW at its relaxed geometry (PBE). Values from VASP.

Geometry as Quantum ESPRESSO input:
```
&SYSTEM
  ibrav = 0, nat = 4, ntyp = 4
/
ATOMIC_SPECIES
Co 58.93 Co.upf
Pb 207.20 Pb.upf
W 183.84 W.upf
Ir 192.22 Ir.upf
ATOMIC_POSITIONS crystal
Co 0.7500 0.7500 0.7500
Pb 0.0000 0.0000 0.0000
W 0.2500 0.2500 0.2500
Ir 0.5000 0.5000 0.5000
CELL_PARAMETERS angstrom
4.1349 -1.3516 1.1178
1.7822 1.2410 3.9316
0.5658 -3.0311 3.2659
```

=====

Least stable: run one

=====

Run one
Entry from OQMD: crystalline YCoIrPb at its relaxed geometry (PBE). Values from VASP.

Geometry as Quantum ESPRESSO input:
```
&SYSTEM
  ibrav = 0, nat = 4, ntyp = 4
/
ATOMIC_SPECIES
Co 58.93 Co.upf
Ir 192.22 Ir.upf
Pb 207.20 Pb.upf
Y 88.91 Y.upf
ATOMIC_POSITIONS crystal
Co 0.7500 0.7500 0.7500
Ir 0.5000 0.5000 0.5000
Pb 0.0000 0.0000 0.0000
Y 0.2500 0.2500 0.2500
CELL_PARAMETERS angstrom
1.5382 -3.9601 -2.1449
-2.2370 -4.1335 0.7476
-2.5758 -1.9751 -3.4803
```

=====

Run two
Entry from OQMD: crystalline YCoIrPb at its relaxed geometry (PBE). Values from VASP.

Geometry as Quantum ESPRESSO input:
```
&SYSTEM
  ibrav = 0, nat = 4, ntyp = 4
/
ATOMIC_SPECIES
Co 58.93 Co.upf
Y 88.91 Y.upf
Ir 192.22 Ir.upf
Pb 207.20 Pb.upf
ATOMIC_POSITIONS crystal
Co 0.7500 0.7500 0.7500
Y 0.5000 0.5000 0.5000
Ir 0.2500 0.2500 0.2500
Pb 0.0000 0.0000 0.0000
CELL_PARAMETERS angstrom
0.0000 3.3419 3.3419
3.3419 0.0000 3.3419
3.3419 3.3419 0.0000
```

=====

Least stable: run one

=====

Run one
Entry from OQMD: crystalline PmCoIr at its relaxed geometry (PBE). Values from VASP.

Geometry as Quantum ESPRESSO input:
```
&SYSTEM
  ibrav = 0, nat = 3, ntyp = 3
/
ATOMIC_SPECIES
Co 58.93 Co.upf
Ir 192.22 Ir.upf
Pm 145.00 Pm.upf
ATOMIC_POSITIONS crystal
Co 0.5000 0.5000 0.5000
Ir 0.0000 0.0000 0.0000
Pm 0.2500 0.2500 0.2500
CELL_PARAMETERS angstrom
0.0000 3.1599 3.1599
3.1599 0.0000 3.1599
3.1599 3.1599 0.0000
```

=====

Run two
Entry from OQMD: crystalline PmCoIr at its relaxed geometry (PBE). Values from VASP.

Geometry as Quantum ESPRESSO input:
```
&SYSTEM
  ibrav = 0, nat = 3, ntyp = 3
/
ATOMIC_SPECIES
Ir 192.22 Ir.upf
Pm 145.00 Pm.upf
Co 58.93 Co.upf
ATOMIC_POSITIONS crystal
Ir 0.0000 0.0000 0.0000
Pm 0.2500 0.2500 0.2500
Co 0.7500 0.7500 0.7500
CELL_PARAMETERS angstrom
0.0000 3.2084 3.2084
3.2084 0.0000 3.2084
3.2084 3.2084 0.0000
```

=====

Least stable: run one

=====

Run one
Entry from OQMD: crystalline ScCoSbIr at its relaxed geometry (PBE). Values from VASP.

Geometry as Quantum ESPRESSO input:
```
&SYSTEM
  ibrav = 0, nat = 4, ntyp = 4
/
ATOMIC_SPECIES
Co 58.93 Co.upf
Ir 192.22 Ir.upf
Sc 44.96 Sc.upf
Sb 121.76 Sb.upf
ATOMIC_POSITIONS crystal
Co 0.7500 0.7500 0.7500
Ir 0.2500 0.2500 0.2500
Sc 0.5000 0.5000 0.5000
Sb 0.0000 0.0000 0.0000
CELL_PARAMETERS angstrom
0.0000 3.1948 3.1948
3.1948 0.0000 3.1948
3.1948 3.1948 0.0000
```

=====

Run two
Entry from OQMD: crystalline ScCoSbIr at its relaxed geometry (PBE). Values from VASP.

Geometry as Quantum ESPRESSO input:
```
&SYSTEM
  ibrav = 0, nat = 4, ntyp = 4
/
ATOMIC_SPECIES
Sb 121.76 Sb.upf
Ir 192.22 Ir.upf
Co 58.93 Co.upf
Sc 44.96 Sc.upf
ATOMIC_POSITIONS crystal
Sb 0.0000 0.0000 0.0000
Ir 0.5000 0.5000 0.5000
Co 0.7500 0.7500 0.7500
Sc 0.2500 0.2500 0.2500
CELL_PARAMETERS angstrom
-2.3829 -3.8659 0.3351
-1.8407 -1.2017 3.9880
-4.5166 0.1506 0.5605
```

=====

Least stable: run two

=====

Run one
Entry from OQMD: crystalline ZrCoSbIr at its relaxed geometry (PBE). Values from VASP.

Geometry as Quantum ESPRESSO input:
```
&SYSTEM
  ibrav = 0, nat = 4, ntyp = 4
/
ATOMIC_SPECIES
Ir 192.22 Ir.upf
Co 58.93 Co.upf
Zr 91.22 Zr.upf
Sb 121.76 Sb.upf
ATOMIC_POSITIONS crystal
Ir 0.5000 0.5000 0.5000
Co 0.7500 0.7500 0.7500
Zr 0.2500 0.2500 0.2500
Sb 0.0000 0.0000 0.0000
CELL_PARAMETERS angstrom
-2.1574 -3.9581 -0.9117
-0.2008 -3.2992 3.1980
-3.9975 -0.9672 2.0583
```

=====

Run two
Entry from OQMD: crystalline ZrCoSbIr at its relaxed geometry (PBE). Values from VASP.

Geometry as Quantum ESPRESSO input:
```
&SYSTEM
  ibrav = 0, nat = 4, ntyp = 4
/
ATOMIC_SPECIES
Co 58.93 Co.upf
Ir 192.22 Ir.upf
Sb 121.76 Sb.upf
Zr 91.22 Zr.upf
ATOMIC_POSITIONS crystal
Co 0.7500 0.7500 0.7500
Ir 0.2500 0.2500 0.2500
Sb 0.0000 0.0000 0.0000
Zr 0.5000 0.5000 0.5000
CELL_PARAMETERS angstrom
3.8205 -2.3493 -0.9665
0.1565 -4.5265 0.7318
0.0733 -2.8976 -3.5564
```

=====

Least stable: run one

=====

Run one
Entry from OQMD: crystalline ScTlCoIr at its relaxed geometry (PBE). Values from VASP.

Geometry as Quantum ESPRESSO input:
```
&SYSTEM
  ibrav = 0, nat = 4, ntyp = 4
/
ATOMIC_SPECIES
Tl 204.38 Tl.upf
Sc 44.96 Sc.upf
Co 58.93 Co.upf
Ir 192.22 Ir.upf
ATOMIC_POSITIONS crystal
Tl 0.0000 0.0000 0.0000
Sc 0.5000 0.5000 0.5000
Co 0.7500 0.7500 0.7500
Ir 0.2500 0.2500 0.2500
CELL_PARAMETERS angstrom
0.0000 3.2062 3.2062
3.2062 0.0000 3.2062
3.2062 3.2062 0.0000
```

=====

Run two
Entry from OQMD: crystalline ScTlCoIr at its relaxed geometry (PBE). Values from VASP.

Geometry as Quantum ESPRESSO input:
```
&SYSTEM
  ibrav = 0, nat = 4, ntyp = 4
/
ATOMIC_SPECIES
Tl 204.38 Tl.upf
Ir 192.22 Ir.upf
Sc 44.96 Sc.upf
Co 58.93 Co.upf
ATOMIC_POSITIONS crystal
Tl 0.0000 0.0000 0.0000
Ir 0.5000 0.5000 0.5000
Sc 0.2500 0.2500 0.2500
Co 0.7500 0.7500 0.7500
CELL_PARAMETERS angstrom
0.0000 3.2462 3.2462
3.2462 0.0000 3.2462
3.2462 3.2462 0.0000
```

=====

Least stable: run two